(1)
VASP calculation (meta-GGA SCAN) on RbSbPdN2 at its PBEsol-relaxed geometry.

Lattice parameters (Å, degrees): 4.3766 4.3766 6.5596 90.00 90.00 90.00
Closest atoms and distances in Å follow each position.
Fractional coordinates of all 5 atoms:
Rb: 0.0000 0.0000 0.0000  4 N 2.19
Sb: 0.0000 0.0000 0.5000  4 Pd 3.09, 2 Rb 3.28
Pd: 0.5000 0.5000 0.5000  4 Sb 3.09
N: 0.0000 0.5000 0.0000  2 Rb 2.19
N: 0.5000 0.0000 0.0000  2 Rb 2.19

DOS at the Fermi energy: 0.8722 states/eV per atom
E: -19.233 eV/atom
symmetry: P4/mmm, No. 123


(2)
VASP calculation (meta-GGA SCAN) on Rb2TiPdN at its PBEsol-relaxed geometry.

Lattice parameters (Å, degrees): 6.4089 6.4089 3.7374 90.00 90.00 90.00
Closest atoms and distances in Å follow each position.
Fractional coordinates of all 5 atoms:
Rb: 0.0000 0.5000 0.0000  2 Ti 3.20
Rb: 0.5000 0.0000 0.0000  2 Ti 3.20
Ti: 0.0000 0.0000 0.0000  2 N 1.87
Pd: 0.5000 0.5000 0.5000  8 Rb 3.71, 2 Pd 3.74
N: 0.0000 0.0000 0.5000  2 Ti 1.87

DOS at the Fermi energy: 0.3521 states/eV per atom
E: -19.498 eV/atom
symmetry: P4/mmm, No. 123


(3)
VASP calculation (meta-GGA SCAN) on Re3PdN at its PBEsol-relaxed geometry.

Lattice parameters (Å, degrees): 4.0188 4.0188 4.0188 90.00 90.00 90.00
Closest atoms and distances in Å follow each position.
Fractional coordinates of all 5 atoms:
Re: 0.0000 0.0000 0.5000  2 N 2.01
Re: 0.0000 0.5000 0.0000  2 N 2.01
Re: 0.5000 0.0000 0.0000  2 N 2.01
Pd: 0.5000 0.5000 0.5000  12 Re 2.84
N: 0.0000 0.0000 0.0000  6 Re 2.01

DOS at the Fermi energy: 0.5760 states/eV per atom
E: -50.713 eV/atom
symmetry: Pm-3m, No. 221


(4)
VASP calculation (meta-GGA SCAN) on RePdN2 at its PBEsol-relaxed geometry.

Lattice parameters (Å, degrees): 6.6712 6.6712 6.6712 24.38 24.38 24.38
Closest atoms and distances in Å follow each position.
Fractional coordinates of all 4 atoms:
Re: 0.0000 0.0000 0.0000  6 N 2.06
Pd: 0.5000 0.5000 0.5000  2 N 1.97
N: 0.3985 0.3985 0.3985  1 Pd 1.97, 3 Re 2.06
N: 0.6015 0.6015 0.6015  1 Pd 1.97, 3 Re 2.06

DOS at the Fermi energy: 0.1052 states/eV per atom
E: -30.447 eV/atom
symmetry: R-3m, No. 166


Question: Which of these has the highest DOS at the Fermi energy?
Answer: RbSbPdN2


Question: What is the formula in the third record?
Answer: Re3PdN


Question: Among the records above, which one has the lowest E?
Answer: Re3PdN